No. 1
# Ho2PaPd | Alexandria | PBE | relaxed
# Mass density   11368 kg/m3
# Crystal system   tetragonal
# DFT formation energy   -1.25 eV per formula unit
# Calculated volume   97.5 Å³/f.u.
# N(E_F)   1.393 states/eV/atom
# Total magnetization   0.1 μB/f.u.
data_Ho2PaPd
_chemical_formula_sum 'Ho2 Pa1 Pd1'
_cell_length_a 3.458
_cell_length_b 3.458
_cell_length_c 8.152
_cell_angle_alpha 90.00
_cell_angle_beta 90.00
_cell_angle_gamma 90.00
_space_group_name_H-M_alt 'P 4/m m m'
_space_group_IT_number 123
_space_group_name_Hall '-P 4 2'
loop_
_atom_site_label
_atom_site_type_symbol
_atom_site_fract_x
_atom_site_fract_y
_atom_site_fract_z
_atom_site_occupancy
Ho1 Ho 0.000 0.000 0.213 1
Pa1 Pa 0.500 0.500 0.500 1
Pd1 Pd 0.500 0.500 0.000 1

=====

No. 2
# HoPaPd14 | Alexandria | PBE | relaxed
# Mass density   11842 kg/m3
# Crystal system   tetragonal
# DFT formation energy   -7.51 eV per formula unit
# Calculated volume   264.4 Å³/f.u.
# N(E_F)   1.002 states/eV/atom
# Total magnetization   0.0 μB/f.u.
data_HoPaPd14
_chemical_formula_sum 'Ho1 Pa1 Pd14'
_cell_length_a 5.809
_cell_length_b 5.809
_cell_length_c 7.836
_cell_angle_alpha 90.00
_cell_angle_beta 90.00
_cell_angle_gamma 90.00
_space_group_name_H-M_alt 'P 4/m m m'
_space_group_IT_number 123
_space_group_name_Hall '-P 4 2'
loop_
_atom_site_label
_atom_site_type_symbol
_atom_site_fract_x
_atom_site_fract_y
_atom_site_fract_z
_atom_site_occupancy
Ho1 Ho 0.000 0.000 0.000 1
Pa1 Pa 0.500 0.500 0.000 1
Pd1 Pd 0.000 0.000 0.500 1
Pd2 Pd 0.000 0.500 0.000 1
Pd3 Pd 0.000 0.500 0.500 1
Pd4 Pd 0.253 0.253 0.254 1
Pd5 Pd 0.500 0.500 0.500 1

=====

No. 3
# HoPaPd | Alexandria | PBE | relaxed
# Mass density   11334 kg/m3
# Crystal system   monoclinic
# DFT formation energy   -0.17 eV per formula unit
# Calculated volume   73.6 Å³/f.u.
# N(E_F)   1.409 states/eV/atom
# Total magnetization   0.0 μB/f.u.
data_HoPaPd
_chemical_formula_sum 'Ho4 Pa4 Pd4'
_cell_length_a 13.505
_cell_length_b 3.120
_cell_length_c 7.202
_cell_angle_alpha 90.00
_cell_angle_beta 104.06
_cell_angle_gamma 90.00
_space_group_name_H-M_alt 'C 1 2/m 1'
_space_group_IT_number 12
_space_group_name_Hall '-C 2y'
loop_
_atom_site_label
_atom_site_type_symbol
_atom_site_fract_x
_atom_site_fract_y
_atom_site_fract_z
_atom_site_occupancy
Ho1 Ho 0.026 0.000 0.265 1
Pa1 Pa 0.223 0.000 0.649 1
Pd1 Pd 0.162 0.000 0.008 1

=====

No. 4
# HoPa2Pd | Alexandria | PBE | relaxed
# Mass density   12431 kg/m3
# Crystal system   trigonal
# DFT formation energy   0.75 eV per formula unit
# Calculated volume   98.0 Å³/f.u.
# N(E_F)   1.893 states/eV/atom
# Total magnetization   0.0 μB/f.u.
data_HoPa2Pd
_chemical_formula_sum 'Ho3 Pa6 Pd3'
_cell_length_a 3.1620
_cell_length_b 3.1620
_cell_length_c 33.9423
_cell_angle_alpha 90.00
_cell_angle_beta 90.00
_cell_angle_gamma 120.00
_space_group_name_H-M_alt 'R -3 m'
_space_group_IT_number 166
_space_group_name_Hall '-R 3 2"'
loop_
_atom_site_label
_atom_site_type_symbol
_atom_site_fract_x
_atom_site_fract_y
_atom_site_fract_z
_atom_site_occupancy
Ho1 Ho 0.0000 0.0000 0.0000 1
Pa1 Pa 0.0000 0.0000 0.4208 1
Pd1 Pd 0.0000 0.0000 0.5000 1

=====

No. 5
# HoPaPd | Alexandria | PBE | relaxed
# Mass density   11532 kg/m3
# Crystal system   tetragonal
# DFT formation energy   -0.86 eV per formula unit
# Calculated volume   72.3 Å³/f.u.
# N(E_F)   1.301 states/eV/atom
# Total magnetization   0.0 μB/f.u.
data_HoPaPd
_chemical_formula_sum 'Ho2 Pa2 Pd2'
_cell_length_a 3.594
_cell_length_b 3.594
_cell_length_c 11.203
_cell_angle_alpha 90.00
_cell_angle_beta 90.00
_cell_angle_gamma 90.00
_space_group_name_H-M_alt 'I 4 m m'
_space_group_IT_number 107
_space_group_name_Hall 'I 4 -2'
loop_
_atom_site_label
_atom_site_type_symbol
_atom_site_fract_x
_atom_site_fract_y
_atom_site_fract_z
_atom_site_occupancy
Ho1 Ho 0.000 0.000 0.000 1
Pa1 Pa 0.000 0.000 0.299 1
Pd1 Pd 0.000 0.000 0.672 1

=====

No. 6
# Ho2PaPd | Alexandria | PBE | relaxed
# Mass density   11143 kg/m3
# Crystal system   trigonal
# DFT formation energy   0.02 eV per formula unit
# Calculated volume   99.4 Å³/f.u.
# N(E_F)   1.159 states/eV/atom
# Total magnetization   0.0 μB/f.u.
data_Ho2PaPd
_chemical_formula_sum 'Ho6 Pa3 Pd3'
_cell_length_a 3.2526
_cell_length_b 3.2526
_cell_length_c 32.5637
_cell_angle_alpha 90.00
_cell_angle_beta 90.00
_cell_angle_gamma 120.00
_space_group_name_H-M_alt 'R -3 m'
_space_group_IT_number 166
_space_group_name_Hall '-R 3 2"'
loop_
_atom_site_label
_atom_site_type_symbol
_atom_site_fract_x
_atom_site_fract_y
_atom_site_fract_z
_atom_site_occupancy
Ho1 Ho 0.0000 0.0000 0.0982 1
Pa1 Pa 0.0000 0.0000 0.0000 1
Pd1 Pd 0.0000 0.0000 0.5000 1

=====

No. 7
# HoPaPdRu | Alexandria | PBE | relaxed
# Mass density   12110 kg/m3
# Crystal system   cubic
# DFT formation energy   -1.89 eV per formula unit
# Calculated volume   82.7 Å³/f.u.
# N(E_F)   1.671 states/eV/atom
# Total magnetization   0.0 μB/f.u.
data_HoPaPdRu
_chemical_formula_sum 'Ho4 Pa4 Pd4 Ru4'
_cell_length_a 6.917
_cell_length_b 6.917
_cell_length_c 6.917
_cell_angle_alpha 90.00
_cell_angle_beta 90.00
_cell_angle_gamma 90.00
_space_group_name_H-M_alt 'F -4 3 m'
_space_group_IT_number 216
_space_group_name_Hall 'F -4 2 3'
loop_
_atom_site_label
_atom_site_type_symbol
_atom_site_fract_x
_atom_site_fract_y
_atom_site_fract_z
_atom_site_occupancy
Ho1 Ho 0.000 0.000 0.000 1
Pa1 Pa 0.000 0.000 0.500 1
Pd1 Pd 0.250 0.250 0.250 1
Ru1 Ru 0.250 0.250 0.750 1

=====

No. 8
# HoPaSiPd | Alexandria | PBE | relaxed
# Mass density   10129 kg/m3
# Crystal system   cubic
# Calculated volume   87.0 Å³/f.u.
# N(E_F)   1.805 states/eV/atom
# Raw formation energy   -397 meV/atom
# Total magnetization   1.7 μB/f.u.
data_HoPaSiPd
_chemical_formula_sum 'Ho4 Pa4 Si4 Pd4'
_cell_length_a 7.033
_cell_length_b 7.033
_cell_length_c 7.033
_cell_angle_alpha 90.00
_cell_angle_beta 90.00
_cell_angle_gamma 90.00
_space_group_name_H-M_alt 'F -4 3 m'
_space_group_IT_number 216
_space_group_name_Hall 'F -4 2 3'
loop_
_atom_site_label
_atom_site_type_symbol
_atom_site_fract_x
_atom_site_fract_y
_atom_site_fract_z
_atom_site_occupancy
Ho1 Ho 0.000 0.000 0.000 1
Pa1 Pa 0.000 0.000 0.500 1
Si1 Si 0.250 0.250 0.250 1
Pd1 Pd 0.250 0.250 0.750 1

=====

No. 9
# HoPaSnPd | Alexandria | PBE | relaxed
# Mass density   10558 kg/m3
# Crystal system   cubic
# DFT formation energy   -1.34 eV per formula unit
# Calculated volume   97.7 Å³/f.u.
# N(E_F)   2.106 states/eV/atom
# Total magnetization   2.0 μB/f.u.
data_HoPaSnPd
_chemical_formula_sum 'Ho4 Pa4 Sn4 Pd4'
_cell_length_a 7.311
_cell_length_b 7.311
_cell_length_c 7.311
_cell_angle_alpha 90.00
_cell_angle_beta 90.00
_cell_angle_gamma 90.00
_space_group_name_H-M_alt 'F -4 3 m'
_space_group_IT_number 216
_space_group_name_Hall 'F -4 2 3'
loop_
_atom_site_label
_atom_site_type_symbol
_atom_site_fract_x
_atom_site_fract_y
_atom_site_fract_z
_atom_site_occupancy
Ho1 Ho 0.000 0.000 0.000 1
Pa1 Pa 0.000 0.000 0.500 1
Sn1 Sn 0.250 0.250 0.750 1
Pd1 Pd 0.250 0.250 0.250 1

=====

No. 10
# HoPaTlPd | Alexandria | PBE | relaxed
# Mass density   11957 kg/m3
# Crystal system   cubic
# DFT formation energy   -0.55 eV per formula unit
# Calculated volume   98.2 Å³/f.u.
# N(E_F)   1.912 states/eV/atom
# Total magnetization   1.2 μB/f.u.
data_HoPaTlPd
_chemical_formula_sum 'Ho4 Pa4 Tl4 Pd4'
_cell_length_a 7.322
_cell_length_b 7.322
_cell_length_c 7.322
_cell_angle_alpha 90.00
_cell_angle_beta 90.00
_cell_angle_gamma 90.00
_space_group_name_H-M_alt 'F -4 3 m'
_space_group_IT_number 216
_space_group_name_Hall 'F -4 2 3'
loop_
_atom_site_label
_atom_site_type_symbol
_atom_site_fract_x
_atom_site_fract_y
_atom_site_fract_z
_atom_site_occupancy
Ho1 Ho 0.000 0.000 0.000 1
Pa1 Pa 0.000 0.000 0.500 1
Tl1 Tl 0.250 0.250 0.250 1
Pd1 Pd 0.250 0.250 0.750 1

=====

No. 11
# Pm2HoPa2Rh5 | Alexandria | PBE | relaxed
# Mass density   11009 kg/m3
# Crystal system   tetragonal
# DFT formation energy   -6.64 eV per formula unit
# Calculated volume   215.9 Å³/f.u.
# N(E_F)   0.970 states/eV/atom
# Total magnetization   0.0 μB/f.u.
data_Pm2HoPa2Rh5
_chemical_formula_sum 'Pm4 Ho2 Pa4 Rh10'
_cell_length_a 10.939
_cell_length_b 10.939
_cell_length_c 3.609
_cell_angle_alpha 90.00
_cell_angle_beta 90.00
_cell_angle_gamma 90.00
_space_group_name_H-M_alt 'P 4/m b m'
_space_group_IT_number 127
_space_group_name_Hall '-P 4 2ab'
loop_
_atom_site_label
_atom_site_type_symbol
_atom_site_fract_x
_atom_site_fract_y
_atom_site_fract_z
_atom_site_occupancy
Pm1 Pm 0.172 0.328 0.000 1
Ho1 Ho 0.000 0.000 0.000 1
Pa1 Pa 0.137 0.637 0.000 1
Rh1 Rh 0.000 0.500 0.500 1
Rh2 Rh 0.053 0.797 0.500 1

=====

No. 12
# Pm2HoPaRu2 | Alexandria | PBE | relaxed
# Mass density   9299 kg/m3
# Crystal system   orthorhombic
# DFT formation energy   -1.80 eV per formula unit
# Calculated volume   158.6 Å³/f.u.
# N(E_F)   1.153 states/eV/atom
# Total magnetization   0.0 μB/f.u.
data_Pm2HoPaRu2
_chemical_formula_sum 'Pm8 Ho4 Pa4 Ru8'
_cell_length_a 6.864
_cell_length_b 13.583
_cell_length_c 6.804
_cell_angle_alpha 90.00
_cell_angle_beta 90.00
_cell_angle_gamma 90.00
_space_group_name_H-M_alt 'I b a m'
_space_group_IT_number 72
_space_group_name_Hall '-I 2 2c'
loop_
_atom_site_label
_atom_site_type_symbol
_atom_site_fract_x
_atom_site_fract_y
_atom_site_fract_z
_atom_site_occupancy
Pm1 Pm 0.225 0.193 0.000 1
Ho1 Ho 0.000 0.500 0.250 1
Pa1 Pa 0.000 0.000 0.250 1
Ru1 Ru 0.211 0.098 0.500 1